# GGA-PBE VCo4Re, optimized geometry
data_VCo4Re
_space_group_name_H-M_alt 'C 1 2/m 1'
_space_group_IT_number 12
_space_group_name_Hall '-C 2y'
_cell_length_a 8.4790
_cell_length_b 4.0838
_cell_length_c 4.9797
_cell_angle_alpha 90.00
_cell_angle_beta 124.88
_cell_angle_gamma 90.00
loop_
_atom_site_label
_atom_site_type_symbol
_atom_site_fract_x
_atom_site_fract_y
_atom_site_fract_z
V1 V 0.0000 0.0000 0.0000
Co1 Co 0.1610 0.5000 0.0150
Co2 Co 0.1726 0.5000 0.5295
Re1 Re 0.0000 0.0000 0.5000
# Calculated volume in Å³/f.u.: 70.73
# DFT formation energy in eV/atom: 0.057
# Magnetic moment in μB/atom: 0.48
# Energy above the most stable polymorph in this dataset in kcal/mol of atoms: 0.95